Entry 1:
# Tm4InSn4Pd2

A geometry-optimized Tm4InSn4Pd2 structure (GGA-PBE, the Open Quantum Materials Database).

Calculated values
The total energy comes out at -4.98 eV/atom. Its space group is C2/m, No. 12.

Unit cell a=8.4490 b=8.4490 c=7.5436 alpha=107.82 beta=107.82 gamma=30.83
Last column: nearest neighbours and their distance in Å.
Positions (direct):
Sn 0.0673 0.0673 0.6725  1 Pd 2.68, 1 Sn 2.82, 1 In 3.00
Sn 0.1906 0.1906 0.2337  3 Pd 2.70-2.78
Tm 0.4103 0.4103 0.6122  3 Pd 3.08-3.22, 6 Sn 3.21-3.33
Pd 0.2223 0.2223 0.6181  4 Sn 2.68-2.78
Sn 0.9327 0.9327 0.3275  1 Pd 2.68, 1 Sn 2.82, 1 In 3.00
Tm 0.3432 0.3432 0.0642  5 Sn 3.05-3.14, 1 Pd 3.32
Pd 0.7777 0.7777 0.3819  4 Sn 2.68-2.78
In 0.0000 0.0000 0.0000  4 Sn 3.00-3.05
Tm 0.5897 0.5897 0.3878  3 Pd 3.08-3.22, 6 Sn 3.21-3.33
Sn 0.8094 0.8094 0.7663  3 Pd 2.70-2.78
Tm 0.6568 0.6568 0.9358  5 Sn 3.05-3.14, 1 Pd 3.32

Entry 2:
# ErHfSi2

A geometry-optimized ErHfSi2 structure (GGA-PBE, the Open Quantum Materials Database).

Calculated values
The total energy comes out at -7.13 eV/atom. For the offset from the most stable computed form, the calculation gives 0 meV/atom. Its space group is Pmn2_1, No. 31.

Unit cell a=3.7570 b=7.4311 c=5.4098 alpha=90.00 beta=90.00 gamma=90.00
Last column: nearest neighbours and their distance in Å.
Positions (direct):
Si 0.0000 0.7238 0.1363  2 Si 2.47
Si 0.0000 0.1974 0.3618  2 Si 2.47, 2 Hf 2.71
Hf 0.5000 0.9340 0.3801  7 Si 2.71-2.97
Hf 0.0000 0.0661 0.8801  7 Si 2.71-2.97
Si 0.5000 0.8026 0.8618  2 Si 2.47, 2 Hf 2.71
Si 0.5000 0.2762 0.6363  2 Si 2.47
Er 0.5000 0.4265 0.1219  7 Si 2.85-3.13
Er 0.0000 0.5735 0.6219  7 Si 2.85-3.13

Entry 3:
# RePdO3

A geometry-optimized RePdO3 structure (GGA-PBE, the Open Quantum Materials Database).

Calculated values
The total energy comes out at -7.27 eV/atom. Its space group is P2_1/m, No. 11.

Unit cell a=4.4488 b=5.7599 c=5.6318 alpha=90.00 beta=101.99 gamma=90.00
Last column: nearest neighbours and their distance in Å.
Positions (direct):
O 0.2666 0.7500 0.8539  1 Re 1.77
O 0.7334 0.2500 0.1461  1 Re 1.77
Re 0.5641 0.2500 0.4038  3 O 1.77-1.96
O 0.7380 0.4920 0.6360  2 Re 1.96-1.99, 1 Pd 2.14
O 0.2620 0.9920 0.3640  2 Re 1.96-1.99, 1 Pd 2.14
Pd 0.0000 0.5000 0.0000  4 O 2.14
Re 0.4359 0.7500 0.5962  3 O 1.77-1.96
O 0.7380 0.0080 0.6360  2 Re 1.96-1.99, 1 Pd 2.14
O 0.2620 0.5080 0.3640  2 Re 1.96-1.99, 1 Pd 2.14
Pd 0.0000 0.0000 0.0000  4 O 2.14

Entry 4:
# ErTmSbCl2

A geometry-optimized ErTmSbCl2 structure (GGA-PBE, the Open Quantum Materials Database).

Calculated values
The total energy comes out at -4.94 eV/atom. Its space group is P3m1, No. 156.

Unit cell a=4.1024 b=4.1024 c=10.4506 alpha=90.00 beta=90.00 gamma=120.00
Last column: nearest neighbours and their distance in Å.
Positions (direct):
Cl 0.6667 0.3333 0.6859  3 Er 2.82
Cl 0.3333 0.6667 0.3128  3 Tm 2.81
Er 0.3333 0.6667 0.8321  3 Cl 2.82, 3 Sb 2.95
Sb 0.0000 0.0000 0.0011  3 Tm 2.94, 3 Er 2.95
Tm 0.6667 0.3333 0.1680  3 Cl 2.81, 3 Sb 2.94

Entry 5:
# Gd2Al3Ga3

A geometry-optimized Gd2Al3Ga3 structure (GGA-PBE, the Open Quantum Materials Database).

Calculated values
The total energy comes out at -4.21 eV/atom. For the offset from the most stable computed form, the calculation gives 0 meV/atom. Its space group is P-6m2, No. 187.

Unit cell a=6.3538 b=6.3538 c=4.5242 alpha=90.00 beta=90.00 gamma=120.00
Last column: nearest neighbours and their distance in Å.
Positions (direct):
Gd 0.0000 0.0000 0.5000  6 Al 3.07, 6 Ga 3.18
Al 0.3770 0.1885 0.0000  2 Al 2.76, 4 Ga 2.77, 2 Gd 3.07
Al 0.8115 0.6230 0.0000  2 Al 2.76, 4 Ga 2.77, 2 Gd 3.07
Al 0.8115 0.1885 0.0000  2 Al 2.76, 4 Ga 2.77, 2 Gd 3.07
Ga 0.5203 0.0406 0.5000  4 Al 2.77, 2 Ga 2.79, 2 Gd 3.06
Gd 0.3333 0.6667 0.0000  6 Ga 3.06, 6 Al 3.19
Ga 0.5203 0.4797 0.5000  4 Al 2.77, 2 Ga 2.79, 2 Gd 3.06
Ga 0.9594 0.4797 0.5000  4 Al 2.77, 2 Ga 2.79, 2 Gd 3.06

Entry 6:
# CsZrAg3Te4

A geometry-optimized CsZrAg3Te4 structure (GGA-PBE, the Open Quantum Materials Database).

Calculated values
The total energy comes out at -3.89 eV/atom. For the offset from the most stable computed form, the calculation gives 76 meV/atom. Its space group is P-43m, No. 215.

Unit cell a=7.0489 b=7.0489 c=7.0489 alpha=90.00 beta=90.00 gamma=90.00
Last column: nearest neighbours and their distance in Å.
Positions (direct):
Cs 0.0000 0.0000 0.0000  4 Te 3.39
Ag 0.0000 0.5000 0.5000  4 Te 2.96
Te 0.2773 0.2773 0.2773  1 Zr 2.72, 3 Ag 2.96
Te 0.7227 0.7227 0.2773  1 Zr 2.72, 3 Ag 2.96
Te 0.2773 0.7227 0.7227  1 Zr 2.72, 3 Ag 2.96
Ag 0.5000 0.0000 0.5000  4 Te 2.96
Zr 0.5000 0.5000 0.5000  4 Te 2.72
Ag 0.5000 0.5000 0.0000  4 Te 2.96
Te 0.7227 0.2773 0.7227  1 Zr 2.72, 3 Ag 2.96

Entry 7:
# Zn2CdAu

A geometry-optimized Zn2CdAu structure (GGA-PBE, the Open Quantum Materials Database).

Calculated values
The total energy comes out at -1.70 eV/atom. As for the formation enthalpy at 0 K: -0.029 eV per atom. Its space group is F-43m, No. 216.

Unit cell a=4.6038 b=4.6038 c=4.6038 alpha=60.00 beta=60.00 gamma=60.00
Last column: nearest neighbours and their distance in Å.
Positions (direct):
Zn 0.0000 0.0000 0.0000  4 Cd 2.82, 4 Zn 2.82
Zn 0.2500 0.2500 0.2500  4 Au 2.82, 4 Zn 2.82
Au 0.5000 0.5000 0.5000  4 Cd 2.82, 4 Zn 2.82
Cd 0.7500 0.7500 0.7500  4 Zn 2.82, 4 Au 2.82

Entry 8:
# DyHoAg2

A geometry-optimized DyHoAg2 structure (GGA-PBE, the Open Quantum Materials Database).

Calculated values
The total energy comes out at -4.01 eV/atom. As for the formation enthalpy at 0 K: -0.299 eV per atom. Its space group is Amm2, No. 38.

Unit cell a=4.7630 b=5.7857 c=5.7857 alpha=37.16 beta=90.00 gamma=90.00
Last column: nearest neighbours and their distance in Å.
Positions (direct):
Ag 0.5000 0.0803 0.0803  2 Ag 2.96, 3 Ho 3.03-3.07, 4 Dy 3.09
Dy 0.0000 0.6438 0.6438  7 Ag 3.02-3.09
Ho 0.5000 0.3565 0.3565  7 Ag 3.03-3.09
Ag 0.0000 0.9194 0.9194  2 Ag 2.96, 3 Dy 3.02-3.07, 4 Ho 3.09